Density functional theory data (PBE) for an optimized crystal structure of CuTePb.

Computed properties:
M_tot = 0.000 μB/atom
relative energy among the computed polymorphs = 0.0 meV per atom

a = 11.595 Å, b = 4.180 Å, c = 6.630 Å
α = 90.00°, β = 90.00°, γ = 90.00°
Space group Pnma (No. 62)
Symmetry-distinct sites (fractional):
Cu (0.175, 0.250, 0.101) (multiplicity 4)
Te (0.153, 0.750, 0.333) (multiplicity 4)
Pb (0.087, 0.750, 0.830) (multiplicity 4)

Density functional theory data (PBE) for an optimized crystal structure of Cu2TePb.

Computed properties:
M_tot = 0.000 μB/atom
relative energy among the computed polymorphs = 204.0 meV per atom

a = 6.608 Å, b = 6.608 Å, c = 9.503 Å
α = 90.00°, β = 90.00°, γ = 90.00°
Space group I-42d (No. 122)
Symmetry-distinct sites (fractional):
Cu (0.225, 0.250, 0.125) (multiplicity 8)
Te (0.000, 0.000, 0.000) (multiplicity 4)
Pb (0.000, 0.000, 0.500) (multiplicity 4)